Entry 1:
VASP calculation (GGA-PBE) on PaTcPIr after structural relaxation.

Results
Crystal system ... tetragonal
Space-group type ... P4/nmm, No. 129
Energy relative to the elements ... -740 meV/atom
Total magnetization ... 0.0 μB/f.u.
VASP energy ... -9.27 eV per atom

CIF file:
```
data_PaTcPIr
_chemical_formula_sum 'Pa2 Tc2 P2 Ir2'
_symmetry_space_group_name_H-M 'P 1'
_symmetry_Int_Tables_number 1
_symmetry_space_group_name_Hall 'P 1'
_cell_length_a 3.9080
_cell_length_b 3.9080
_cell_length_c 9.3039
_cell_angle_alpha 90.00
_cell_angle_beta 90.00
_cell_angle_gamma 90.00
loop_
_atom_site_label
_atom_site_type_symbol
_atom_site_fract_x
_atom_site_fract_y
_atom_site_fract_z
_atom_site_occupancy
P1 P 0.5000 0.0000 0.6451 1
Pa1 Pa 0.0000 0.5000 0.7794 1
Pa2 Pa 0.5000 0.0000 0.2206 1
Tc1 Tc 0.5000 0.5000 0.5000 1
Ir1 Ir 0.0000 0.5000 0.0985 1
Tc2 Tc 0.0000 0.0000 0.5000 1
Ir2 Ir 0.5000 0.0000 0.9015 1
P2 P 0.0000 0.5000 0.3549 1
```

Entry 2:
VASP calculation (GGA-PBE) on Ac4Ti after structural relaxation.

Results
Crystal system ... cubic
Space-group type ... Pm-3m, No. 221
Energy relative to the elements ... 442 meV/atom
Total magnetization ... 0.0 μB/f.u.
VASP energy ... -4.42 eV per atom

CIF file:
```
data_Ac4Ti
_chemical_formula_sum 'Ac4 Ti1'
_symmetry_space_group_name_H-M 'P 1'
_symmetry_Int_Tables_number 1
_symmetry_space_group_name_Hall 'P 1'
_cell_length_a 5.9780
_cell_length_b 5.9780
_cell_length_c 5.9780
_cell_angle_alpha 90.00
_cell_angle_beta 90.00
_cell_angle_gamma 90.00
loop_
_atom_site_label
_atom_site_type_symbol
_atom_site_fract_x
_atom_site_fract_y
_atom_site_fract_z
_atom_site_occupancy
Ti1 Ti 0.5000 0.5000 0.5000 1
Ac1 Ac 0.5000 0.5000 0.0000 1
Ac2 Ac 0.5000 0.0000 0.5000 1
Ac3 Ac 0.0000 0.5000 0.5000 1
Ac4 Ac 0.0000 0.0000 0.0000 1
```

Entry 3:
VASP calculation (GGA-PBE) on YIr2Pt2 after structural relaxation.

Results
Polymorph energy (0 for the lowest one) ... 5.1 kJ per mole of atoms
Crystal system ... tetragonal
Space-group type ... P4/mbm, No. 127
Energy relative to the elements ... -304 meV/atom
Total magnetization ... 0.0 μB/f.u.
VASP energy ... -7.56 eV per atom

CIF file:
```
data_YIr2Pt2
_chemical_formula_sum 'Y2 Ir4 Pt4'
_symmetry_space_group_name_H-M 'P 1'
_symmetry_Int_Tables_number 1
_symmetry_space_group_name_Hall 'P 1'
_cell_length_a 7.2646
_cell_length_b 7.2646
_cell_length_c 3.3495
_cell_angle_alpha 90.00
_cell_angle_beta 90.00
_cell_angle_gamma 90.00
loop_
_atom_site_label
_atom_site_type_symbol
_atom_site_fract_x
_atom_site_fract_y
_atom_site_fract_z
_atom_site_occupancy
Ir1 Ir 0.6260 0.1260 0.0000 1
Ir2 Ir 0.3740 0.8740 0.0000 1
Ir3 Ir 0.8740 0.6260 0.0000 1
Pt1 Pt 0.6729 0.8271 0.5000 1
Pt2 Pt 0.3271 0.1729 0.5000 1
Pt3 Pt 0.8271 0.3271 0.5000 1
Y1 Y 0.0000 0.0000 0.0000 1
Y2 Y 0.5000 0.5000 0.0000 1
Ir4 Ir 0.1260 0.3740 0.0000 1
Pt4 Pt 0.1729 0.6729 0.5000 1
```

Entry 4:
VASP calculation (GGA-PBE) on CaMg2Cr2 after structural relaxation.

Results
Polymorph energy (0 for the lowest one) ... 0.0 kJ per mole of atoms
Crystal system ... tetragonal
Space-group type ... P4/mbm, No. 127
Energy relative to the elements ... 485 meV/atom
Total magnetization ... 0.0 μB/f.u.
VASP energy ... -4.40 eV per atom

CIF file:
```
data_CaMg2Cr2
_chemical_formula_sum 'Ca2 Mg4 Cr4'
_symmetry_space_group_name_H-M 'P 1'
_symmetry_Int_Tables_number 1
_symmetry_space_group_name_Hall 'P 1'
_cell_length_a 7.9418
_cell_length_b 7.9418
_cell_length_c 3.2350
_cell_angle_alpha 90.00
_cell_angle_beta 90.00
_cell_angle_gamma 90.00
loop_
_atom_site_label
_atom_site_type_symbol
_atom_site_fract_x
_atom_site_fract_y
_atom_site_fract_z
_atom_site_occupancy
Cr1 Cr 0.4189 0.9189 0.0000 1
Mg1 Mg 0.1965 0.6965 0.5000 1
Mg2 Mg 0.8035 0.3035 0.5000 1
Ca1 Ca 0.5000 0.5000 0.0000 1
Cr2 Cr 0.9189 0.5811 0.0000 1
Cr3 Cr 0.5811 0.0811 0.0000 1
Mg3 Mg 0.3035 0.1965 0.5000 1
Ca2 Ca 0.0000 0.0000 0.0000 1
Cr4 Cr 0.0811 0.4189 0.0000 1
Mg4 Mg 0.6965 0.8035 0.5000 1
```

Entry 5:
VASP calculation (GGA-PBE) on BPtSe3 after structural relaxation.

Results
Polymorph energy (0 for the lowest one) ... 0.0 kJ per mole of atoms
Crystal system ... cubic
Space-group type ... Pm-3m, No. 221
Formation energy from raw total energies ... 0.887 eV/atom
Total magnetization ... 0.0 μB/f.u.
VASP energy ... -3.75 eV per atom

CIF file:
```
data_BPtSe3
_chemical_formula_sum 'B1 Pt1 Se3'
_symmetry_space_group_name_H-M 'P 1'
_symmetry_Int_Tables_number 1
_symmetry_space_group_name_Hall 'P 1'
_cell_length_a 4.3929
_cell_length_b 4.3929
_cell_length_c 4.3929
_cell_angle_alpha 90.00
_cell_angle_beta 90.00
_cell_angle_gamma 90.00
loop_
_atom_site_label
_atom_site_type_symbol
_atom_site_fract_x
_atom_site_fract_y
_atom_site_fract_z
_atom_site_occupancy
B1 B 0.0000 0.0000 0.0000 1
Se1 Se 0.5000 0.0000 0.0000 1
Pt1 Pt 0.5000 0.5000 0.5000 1
Se2 Se 0.0000 0.5000 0.0000 1
Se3 Se 0.0000 0.0000 0.5000 1
```